# 1
DFT (GGA-PBE) results for DyCdHg after structural relaxation.

Values from the calculation:
Space-group type: F-43m, No. 216
Calculated volume, A^3/atom: 27.43
VASP energy, eV for the cell shown: -6.5
Total magnetic moment, μB per formula unit: 0.000

abc: 4.8825 4.8825 4.8825
angles: 60.00 60.00 60.00
Closest atoms and distances in Å follow each position.
Sites, in units of the cell vectors:
Dy  0.0000  0.0000  0.0000  4 Hg 2.99
Cd  0.5000  0.5000  0.5000  4 Hg 2.99
Hg  0.7500  0.7500  0.7500  4 Cd 2.99, 4 Dy 2.99

---

# 2
DFT (GGA-PBE) results for Ac4Cd3In after structural relaxation.

Values from the calculation:
Space-group type: C2/m, No. 12
Calculated volume, A^3/atom: 34.05
Total magnetic moment, μB per formula unit: 0.000
Offset from the most stable computed form, meV/atom: 0

abc: 9.1632 9.1632 5.7594
angles: 108.24 108.24 36.63
Closest atoms and distances in Å follow each position.
Sites, in units of the cell vectors:
Ac  0.1242  0.1242  0.1242  6 Cd 3.53-3.55, 2 In 3.53
Ac  0.3758  0.3758  0.3757  2 In 3.53, 6 Cd 3.53-3.55
Ac  0.6242  0.6242  0.6243  2 In 3.53, 6 Cd 3.53-3.55
Ac  0.8758  0.8758  0.8758  6 Cd 3.53-3.55, 2 In 3.53
Cd  0.0000  0.0000  0.5000  8 Ac 3.53
Cd  0.2497  0.2497  0.7499  8 Ac 3.54-3.55
Cd  0.7503  0.7503  0.2501  8 Ac 3.54-3.55
In  0.5000  0.5000  0.0000  8 Ac 3.53

---

# 3
DFT (GGA-PBE) results for Sm7SiS5 after structural relaxation.

Values from the calculation:
Space-group type: C2/m, No. 12
Formation energy without anion corrections, eV per atom: -1.69
Calculated volume, A^3/atom: 24.16
Total magnetic moment, μB per formula unit: 0.000

abc: 6.8689 6.8689 23.7266
angles: 90.02 90.02 34.13
Closest atoms and distances in Å follow each position.
Sites, in units of the cell vectors:
Sm  0.0349  0.0349  0.2500  2 S 2.77, 2 Si 2.91
Sm  0.1374  0.1374  0.5370  6 S 2.77-2.84
Sm  0.1373  0.1373  0.9631  6 S 2.77-2.84
Sm  0.3129  0.3129  0.1783  3 S 2.78-2.85, 2 Si 3.06
Sm  0.3127  0.3127  0.3217  3 S 2.78-2.85, 2 Si 3.06
Sm  0.4080  0.4080  0.6128  5 S 2.82-2.94
Sm  0.4079  0.4079  0.8871  5 S 2.82-2.94
Sm  0.5921  0.5921  0.1129  5 S 2.82-2.94
Sm  0.5920  0.5920  0.3872  5 S 2.82-2.94
Sm  0.6873  0.6873  0.6783  3 S 2.78-2.85, 2 Si 3.06
Sm  0.6871  0.6871  0.8217  3 S 2.78-2.85, 2 Si 3.06
Sm  0.8627  0.8627  0.0369  6 S 2.77-2.84
Sm  0.8626  0.8626  0.4630  6 S 2.77-2.84
Sm  0.9651  0.9651  0.7500  2 S 2.77, 2 Si 2.91
Si  0.3050  0.3050  0.7502  6 Sm 2.91-3.06
Si  0.6950  0.6950  0.2498  6 Sm 2.91-3.06
S  0.0481  0.0481  0.6428  6 Sm 2.77-2.85
S  0.0479  0.0479  0.8572  6 Sm 2.77-2.85
S  0.2261  0.2261  0.0715  6 Sm 2.78-2.85
S  0.2260  0.2260  0.4285  6 Sm 2.78-2.85
S  0.5000  0.5000  0.0000  6 Sm 2.84-2.94
S  0.5000  0.5000  0.5000  6 Sm 2.84-2.94
S  0.7740  0.7740  0.5715  6 Sm 2.78-2.85
S  0.7739  0.7739  0.9285  6 Sm 2.78-2.85
S  0.9521  0.9521  0.1428  6 Sm 2.77-2.85
S  0.9519  0.9519  0.3572  6 Sm 2.77-2.85

---

# 4
DFT (GGA-PBE) results for Cd3SbC after structural relaxation.

Values from the calculation:
Space-group type: Pm-3m, No. 221
Formation energy without anion corrections, eV per atom: 0.73
Calculated volume, A^3/atom: 20.99
Total magnetic moment, μB per formula unit: 0.000
Offset from the most stable computed form, meV/atom: 0

abc: 4.7171 4.7171 4.7171
angles: 90.00 90.00 90.00
Closest atoms and distances in Å follow each position.
Sites, in units of the cell vectors:
Cd  0.0000  0.0000  0.5000  2 C 2.36
Cd  0.0000  0.5000  0.0000  2 C 2.36
Cd  0.5000  0.0000  0.0000  2 C 2.36
Sb  0.5000  0.5000  0.5000  12 Cd 3.34
C  0.0000  0.0000  0.0000  6 Cd 2.36

---

# 5
DFT (GGA-PBE) results for K2ZrAs after structural relaxation.

Values from the calculation:
Space-group type: F-43m, No. 216
Calculated volume, A^3/atom: 27.90
VASP energy, eV for the cell shown: -13.6
Total magnetic moment, μB per formula unit: 2.991

abc: 5.4044 5.4044 5.4044
angles: 60.00 60.00 60.00
Closest atoms and distances in Å follow each position.
Sites, in units of the cell vectors:
K  0.0000  0.0000  0.0000  4 Zr 3.31, 4 K 3.31
K  0.2500  0.2500  0.2500  4 As 3.31, 4 K 3.31
Zr  0.7500  0.7500  0.7500  4 As 3.31, 4 K 3.31
As  0.5000  0.5000  0.5000  4 Zr 3.31, 4 K 3.31

---

# 6
DFT (GGA-PBE) results for Ho2USe5 after structural relaxation.

Values from the calculation:
Space-group type: Fmmm, No. 69
Formation energy without anion corrections, eV per atom: -1.31
Calculated volume, A^3/atom: 25.31
Total magnetic moment, μB per formula unit: 1.968
Offset from the most stable computed form, meV/atom: 228

abc: 8.9988 8.1441 5.5003
angles: 79.97 63.02 37.01
Closest atoms and distances in Å follow each position.
Sites, in units of the cell vectors:
Ho  0.1809  0.1809  0.8191  3 Se 2.77-2.95
Ho  0.8191  0.8191  0.1809  3 Se 2.77-2.95
U  0.5000  0.5000  0.5000  6 Se 2.79-2.84
Se  0.0000  0.0000  0.0000  2 Ho 2.77, 2 U 2.79
Se  0.1799  0.5096  0.4904  1 U 2.84, 1 Ho 2.95, 1 Se 3.12
Se  0.4904  0.8201  0.1799  1 U 2.84, 1 Ho 2.95, 1 Se 3.12
Se  0.5096  0.1799  0.8201  1 U 2.84, 1 Ho 2.95, 1 Se 3.12
Se  0.8201  0.4904  0.5096  1 U 2.84, 1 Ho 2.95, 1 Se 3.12

---

# 7
DFT (GGA-PBE) results for ZrScB after structural relaxation.

Values from the calculation:
Space-group type: Pm, No. 6
Calculated volume, A^3/atom: 18.12
Total magnetic moment, μB per formula unit: 0.000
Offset from the most stable computed form, meV/atom: 107

abc: 6.0187 3.1211 6.0658
angles: 90.00 107.39 90.00
Closest atoms and distances in Å follow each position.
Sites, in units of the cell vectors:
Zr  0.0000  0.0000  0.0000  3 B 2.46-2.49
Zr  0.1738  0.0000  0.5489  3 B 2.45-2.58
Sc  0.4900  0.5000  0.0056  3 B 2.42-2.55
Sc  0.6678  0.5000  0.5511  3 B 2.45-2.50
B  0.7784  0.0000  0.2803  2 B 1.69
B  0.8821  0.5000  0.2659  2 B 1.69

---

# 8
DFT (GGA-PBE) results for LaSmAg2S4 after structural relaxation.

Values from the calculation:
Space-group type: I222, No. 23
Formation energy without anion corrections, eV per atom: -1.20
Calculated volume, A^3/atom: 24.56
Total magnetic moment, μB per formula unit: 0.000

abc: 6.4069 6.4069 6.4069
angles: 115.98 115.12 97.90
Closest atoms and distances in Å follow each position.
Sites, in units of the cell vectors:
La  0.0000  0.0000  0.0000  4 S 2.85
Sm  0.5000  0.5000  0.0000  4 S 2.71
Ag  0.3278  0.8278  0.5000  4 S 2.49-2.73
Ag  0.6722  0.1722  0.5000  4 S 2.49-2.73
S  0.0879  0.1028  0.5166  2 Ag 2.49-2.73, 1 Sm 2.71
S  0.4138  0.8972  0.9851  2 Ag 2.49-2.73, 1 Sm 2.71
S  0.5862  0.5713  0.4834  2 Ag 2.49-2.73, 1 Sm 2.71
S  0.9121  0.4287  0.0149  2 Ag 2.49-2.73, 1 Sm 2.71

---

# 9
DFT (GGA-PBE) results for AcLaNiOs after structural relaxation.

Values from the calculation:
Space-group type: F-43m, No. 216
Calculated volume, A^3/atom: 23.79
VASP energy, eV for the cell shown: -26.0
Total magnetic moment, μB per formula unit: 0.000

abc: 5.1246 5.1246 5.1246
angles: 60.00 60.00 60.00
Closest atoms and distances in Å follow each position.
Sites, in units of the cell vectors:
Ac  0.0000  0.0000  0.0000  4 Ni 3.14, 4 Os 3.14
La  0.5000  0.5000  0.5000  4 Os 3.14, 4 Ni 3.14
Ni  0.7500  0.7500  0.7500  4 Ac 3.14, 4 La 3.14
Os  0.2500  0.2500  0.2500  4 Ac 3.14, 4 La 3.14

---

# 10
DFT (GGA-PBE) results for Ce2InGe4Pd3 after structural relaxation.

Values from the calculation:
Space-group type: P-4m2, No. 115
Calculated volume, A^3/atom: 20.10
VASP energy, eV for the cell shown: -55.4
Total magnetic moment, μB per formula unit: 1.466

abc: 4.3107 4.3107 10.8154
angles: 90.00 90.00 90.00
Closest atoms and distances in Å follow each position.
Sites, in units of the cell vectors:
Ce  0.0000  0.5000  0.2363  8 Ge 3.28-3.34, 6 Pd 3.29-3.57, 2 In 3.57
Ce  0.5000  0.0000  0.7637  8 Ge 3.28-3.34, 6 Pd 3.29-3.57, 2 In 3.57
In  0.0000  0.0000  0.5000  4 Ge 2.71
Ge  0.0000  0.0000  0.0000  4 Pd 2.53
Ge  0.0000  0.5000  0.6517  3 Pd 2.44-2.71, 2 In 2.71
Ge  0.5000  0.0000  0.3483  3 Pd 2.44-2.71, 2 In 2.71
Ge  0.5000  0.5000  0.0000  4 Pd 2.53
Pd  0.0000  0.5000  0.8770  5 Ge 2.44-2.53
Pd  0.5000  0.0000  0.1230  5 Ge 2.44-2.53
Pd  0.5000  0.5000  0.5000  4 Ge 2.71

---

# 11
DFT (GGA-PBE) results for CdRe2Au after structural relaxation.

Values from the calculation:
Space-group type: C2/m, No. 12
Calculated volume, A^3/atom: 16.62
VASP energy, eV for the cell shown: -26.8
Total magnetic moment, μB per formula unit: 0.000

abc: 5.1275 5.1275 4.8162
angles: 99.82 99.82 32.24
Closest atoms and distances in Å follow each position.
Sites, in units of the cell vectors:
Cd  0.0000  0.0000  0.0000  4 Au 2.80, 2 Cd 2.85, 6 Re 2.90-2.95
Re  0.2457  0.2457  0.7473  6 Re 2.79-2.85, 3 Au 2.88-2.96, 3 Cd 2.90-2.95
Re  0.7543  0.7543  0.2527  6 Re 2.79-2.85, 3 Au 2.88-2.96, 3 Cd 2.90-2.95
Au  0.5000  0.5000  0.5000  4 Cd 2.80, 2 Au 2.85, 6 Re 2.88-2.96

---

# 12
DFT (GGA-PBE) results for Na2FeBr4 after structural relaxation.

Values from the calculation:
Space-group type: I-42m, No. 121
Formation energy without anion corrections, eV per atom: -1.03
Calculated volume, A^3/atom: 37.63
Total magnetic moment, μB per formula unit: 4.000
Offset from the most stable computed form, meV/atom: 0

abc: 7.3187 7.3187 7.3187
angles: 123.01 123.01 84.86
Closest atoms and distances in Å follow each position.
Sites, in units of the cell vectors:
Na  0.2500  0.7500  0.5000  4 Br 2.88
Na  0.7500  0.2500  0.5000  4 Br 2.88
Fe  0.0000  0.0000  0.0000  4 Br 2.45
Br  0.0932  0.0932  0.4229  1 Fe 2.45
Br  0.3297  0.9068  0.0000  1 Fe 2.45
Br  0.6703  0.6703  0.5771  1 Fe 2.45
Br  0.9068  0.3297  0.0000  1 Fe 2.45

---

Q: What is the total magnetic moment in the second record?
A: 0.000 μB per formula unit

---

Q: calculated volume of number 5 (K2ZrAs)?
A: 27.90 A^3/atom

---

Q: Number 9 is which compound?
A: AcLaNiOs

---

Repeat the seventh record exactly.
DFT (GGA-PBE) results for ZrScB after structural relaxation.

Values from the calculation:
Space-group type: Pm, No. 6
Calculated volume, A^3/atom: 18.12
Total magnetic moment, μB per formula unit: 0.000
Offset from the most stable computed form, meV/atom: 107

abc: 6.0187 3.1211 6.0658
angles: 90.00 107.39 90.00
Closest atoms and distances in Å follow each position.
Sites, in units of the cell vectors:
Zr  0.0000  0.0000  0.0000  3 B 2.46-2.49
Zr  0.1738  0.0000  0.5489  3 B 2.45-2.58
Sc  0.4900  0.5000  0.0056  3 B 2.42-2.55
Sc  0.6678  0.5000  0.5511  3 B 2.45-2.50
B  0.7784  0.0000  0.2803  2 B 1.69
B  0.8821  0.5000  0.2659  2 B 1.69